DFT (PBE) results for a geometry-optimized LaPrTm2P4 structure.

a b c (Å): 4.098 7.084 7.096
angles (deg): 70.52 90.00 90.00
Element x y z (fractional)
Tm  0.000  0.000  0.000
Tm  0.500  0.000  0.500
P  0.500  0.234  0.754
P  0.500  0.766  0.246
P  0.000  0.767  0.743
P  0.000  0.233  0.257
Pr  0.000  0.500  0.500
La  0.500  0.500  0.000

Computed properties:
DFT total energy (eV for the cell shown): -52.74
Total magnetic moment (μB per formula unit): 0.00
SG: No. 10